## Ac3NdSm (PBE)

Data for a geometry-optimized Ac3NdSm structure.

Cell lengths 10.188, 10.188, 10.854 Å; angles 104.81, 104.81, 21.97 degrees
Atoms (fractional coordinates):
Ac 0.002 0.002 0.238
Ac 0.201 0.201 0.848
Ac 0.398 0.398 0.455
Ac 0.602 0.602 0.545
Ac 0.799 0.799 0.152
Ac 0.998 0.998 0.762
Nd 0.396 0.396 0.945
Nd 0.604 0.604 0.055
Sm 0.201 0.201 0.351
Sm 0.799 0.799 0.649

As for the crystal system: monoclinic. The value obtained for the total magnetization is 0.0 μB per formula unit. As for the energy of formation: 0.04 eV per atom. The value obtained for the calculated volume is 40.685 Å³ per atom. The final energy comes out at -43.2 eV per cell. As for the space group: C2/m.